Entry 1:
Pr2CdCl: optimized geometry, GGA-PBE.

Lattice parameters (Å, degrees): 3.5002 3.5002 8.7364 90.00 90.00 90.00
Element x y z (fractional)
Pr: 0.0000 0.0000 0.2474
Pr: 0.0000 0.0000 0.7526
Cd: 0.5000 0.5000 0.5000
Cl: 0.5000 0.5000 0.0000

Properties
D(E_F)	3.5	states/eV per cell
spin magnetization	0.000	μB/cell
crystal system	tetragonal
space-group type	No. 123
E_form (uncorrected)	-758.4	meV/atom
excess energy over the best structure of this formula in the dataset	35	meV/atom

***

Entry 2:
Ba2Cd4Ag3Hg: optimized geometry, GGA-PBE.

Lattice parameters (Å, degrees): 4.7798 4.7798 12.2287 90.00 90.00 90.00
Element x y z (fractional)
Ba: 0.0000 0.5000 0.2489
Ba: 0.5000 0.0000 0.7511
Cd: 0.0000 0.0000 0.0000
Cd: 0.0000 0.5000 0.6359
Cd: 0.5000 0.0000 0.3641
Cd: 0.5000 0.5000 0.0000
Ag: 0.0000 0.5000 0.8662
Ag: 0.5000 0.0000 0.1338
Ag: 0.5000 0.5000 0.5000
Hg: 0.0000 0.0000 0.5000

Properties
D(E_F)	5.6	states/eV per cell
spin magnetization	0.000	μB/cell
formation energy	-244	meV/atom
crystal system	tetragonal
space-group type	No. 115

***

Entry 3:
LiPr3Si6Pd2: optimized geometry, GGA-PBE.

Lattice parameters (Å, degrees): 5.9499 5.9499 8.1438 90.00 90.00 120.00
Element x y z (fractional)
Li: 0.0000 0.0000 0.0000
Pr: 0.0000 0.0000 0.5000
Pr: 0.3333 0.6667 0.1273
Pr: 0.6667 0.3333 0.8727
Si: 0.1974 0.3949 0.7847
Si: 0.1974 0.8026 0.7847
Si: 0.3949 0.1974 0.2153
Si: 0.6051 0.8026 0.7847
Si: 0.8026 0.1974 0.2153
Si: 0.8026 0.6051 0.2153
Pd: 0.3333 0.6667 0.5326
Pd: 0.6667 0.3333 0.4674

Properties
D(E_F)	3.7	states/eV per cell
spin magnetization	0.000	μB/cell
crystal system	trigonal
space-group type	No. 164
E_form (uncorrected)	-428.9	meV/atom

***

Entry 4:
Ba2LiIn3Bi4: optimized geometry, GGA-PBE.

Lattice parameters (Å, degrees): 5.1011 5.1011 13.4931 90.00 90.00 90.00
Element x y z (fractional)
Ba: 0.0000 0.5000 0.2475
Ba: 0.5000 0.0000 0.7525
Li: 0.0000 0.0000 0.5000
In: 0.0000 0.5000 0.8593
In: 0.5000 0.0000 0.1407
In: 0.5000 0.5000 0.5000
Bi: 0.0000 0.0000 0.0000
Bi: 0.0000 0.5000 0.6334
Bi: 0.5000 0.0000 0.3666
Bi: 0.5000 0.5000 0.0000

Properties
D(E_F)	3.2	states/eV per cell
spin magnetization	0.000	μB/cell
formation energy	-408	meV/atom
crystal system	tetragonal
space-group type	No. 115

***

Entry 5:
CsTlBr3: optimized geometry, GGA-PBE.

Lattice parameters (Å, degrees): 6.4688 7.9261 8.2541 90.00 93.17 90.00
Element x y z (fractional)
Cs: 0.2379 0.2500 0.3978
Cs: 0.7621 0.7500 0.6022
Tl: 0.4258 0.7500 0.0772
Tl: 0.5742 0.2500 0.9228
Br: 0.2478 0.7500 0.3848
Br: 0.2635 0.5098 0.8172
Br: 0.2635 0.9902 0.8172
Br: 0.7365 0.0098 0.1828
Br: 0.7365 0.4902 0.1828
Br: 0.7522 0.2500 0.6152

Properties
D(E_F)	11.6	states/eV per cell
spin magnetization	0.000	μB/cell
crystal system	monoclinic
space-group type	No. 11
E_form (uncorrected)	-1007.6	meV/atom

***

Entry 6:
TbAl2Ag3: optimized geometry, GGA-PBE.

Lattice parameters (Å, degrees): 6.5241 6.5241 5.6610 90.00 90.00 81.21
Element x y z (fractional)
Tb: 0.1463 0.8537 0.7500
Tb: 0.8537 0.1463 0.2500
Al: 0.2719 0.2719 0.0000
Al: 0.2719 0.2719 0.5000
Al: 0.7281 0.7281 0.0000
Al: 0.7281 0.7281 0.5000
Ag: 0.0624 0.6231 0.2500
Ag: 0.3769 0.9376 0.2500
Ag: 0.4923 0.5077 0.2500
Ag: 0.5077 0.4923 0.7500
Ag: 0.6231 0.0624 0.7500
Ag: 0.9376 0.3769 0.7500

Properties
D(E_F)	5.6	states/eV per cell
spin magnetization	0.000	μB/cell
formation energy	-222	meV/atom
crystal system	orthorhombic
space-group type	No. 63

***

Entry 7:
TlCo2W: optimized geometry, GGA-PBE.

Lattice parameters (Å, degrees): 4.3486 4.3486 4.3486 60.00 60.00 60.00
Element x y z (fractional)
Tl: 0.0000 0.0000 0.0000
Co: 0.2500 0.2500 0.2500
Co: 0.7500 0.7500 0.7500
W: 0.5000 0.5000 0.5000

Properties
D(E_F)	7.0	states/eV per cell
spin magnetization	1.708	μB/cell
formation energy	560	meV/atom
crystal system	cubic
space-group type	No. 225
excess energy over the best structure of this formula in the dataset	208	meV/atom

***

Entry 8:
NdGdAs: optimized geometry, GGA-PBE.

Lattice parameters (Å, degrees): 4.0510 4.0510 6.5952 90.00 90.00 120.00
Element x y z (fractional)
Nd: 0.0000 0.0000 0.0000
Gd: 0.6667 0.3333 0.4772
As: 0.3333 0.6667 0.7295

Properties
D(E_F)	3.5	states/eV per cell
spin magnetization	8.291	μB/cell
formation energy	-878	meV/atom
crystal system	trigonal
space-group type	No. 156

***

Entry 9:
Ba6Hg2PdRh: optimized geometry, GGA-PBE.

Lattice parameters (Å, degrees): 8.0672 8.8132 14.3445 90.00 123.86 90.00
Element x y z (fractional)
Ba: 0.1258 0.0253 0.2459
Ba: 0.1258 0.4747 0.7459
Ba: 0.2318 0.6922 0.0566
Ba: 0.2318 0.8078 0.5566
Ba: 0.3720 0.1818 0.0566
Ba: 0.3720 0.3182 0.5566
Ba: 0.6280 0.6818 0.4434
Ba: 0.6280 0.8182 0.9434
Ba: 0.7682 0.1922 0.4434
Ba: 0.7682 0.3078 0.9434
Ba: 0.8742 0.5253 0.2541
Ba: 0.8742 0.9747 0.7541
Hg: 0.2936 0.1030 0.7503
Hg: 0.2936 0.3970 0.2503
Hg: 0.7064 0.6030 0.7497
Hg: 0.7064 0.8970 0.2497
Pd: 0.5000 0.0000 0.5000
Pd: 0.5000 0.5000 0.0000
Rh: 0.0000 0.0000 0.0000
Rh: 0.0000 0.5000 0.5000

Properties
D(E_F)	15.2	states/eV per cell
spin magnetization	0.000	μB/cell
formation energy	-374	meV/atom
crystal system	monoclinic
space-group type	No. 14

***

Entry 10:
TlSi2As: optimized geometry, GGA-PBE.

Lattice parameters (Å, degrees): 2.9351 4.8024 6.4221 90.00 92.99 90.00
Element x y z (fractional)
Tl: 0.0000 0.0000 0.0000
Si: 0.2856 0.5000 0.6605
Si: 0.7144 0.5000 0.3395
As: 0.5000 0.0000 0.5000

Properties
D(E_F)	1.3	states/eV per cell
spin magnetization	0.000	μB/cell
crystal system	monoclinic
space-group type	No. 10
E_form (uncorrected)	454.1	meV/atom
excess energy over the best structure of this formula in the dataset	206	meV/atom

***

Entry 11:
Nd3SmRh8: optimized geometry, GGA-PBE.

Lattice parameters (Å, degrees): 9.3757 9.3757 9.3757 33.54 33.54 33.54
Element x y z (fractional)
Nd: 0.0000 0.0000 0.0000
Nd: 0.1253 0.1253 0.1253
Nd: 0.5004 0.5004 0.5004
Sm: 0.6254 0.6254 0.6254
Rh: 0.0621 0.5626 0.5626
Rh: 0.0630 0.0630 0.5632
Rh: 0.0630 0.5632 0.0630
Rh: 0.3127 0.3127 0.3127
Rh: 0.5626 0.0621 0.5626
Rh: 0.5632 0.0630 0.0630
Rh: 0.5626 0.5626 0.0621
Rh: 0.8128 0.8128 0.8128

Properties
D(E_F)	6.6	states/eV per cell
spin magnetization	0.000	μB/cell
formation energy	-667	meV/atom
crystal system	trigonal
space-group type	No. 160

***

Entry 12:
TaIr2Cl: optimized geometry, GGA-PBE.

Lattice parameters (Å, degrees): 2.8834 4.3882 5.0988 90.00 90.01 90.00
Element x y z (fractional)
Ta: 0.0000 0.0000 0.0000
Ir: 0.4994 0.0000 0.4926
Ir: 0.4994 0.5000 0.8158
Cl: 0.5022 0.5000 0.2870

Properties
D(E_F)	2.3	states/eV per cell
spin magnetization	0.000	μB/cell
crystal system	monoclinic
space-group type	No. 6
E_form (uncorrected)	244.1	meV/atom
excess energy over the best structure of this formula in the dataset	257	meV/atom

***

The highest D(E_F) belongs to which entry? Ba6Hg2PdRh